# Pm2Sb4IrPd3

A geometry-optimized Pm2Sb4IrPd3 structure (PBE-GGA, the Alexandria database).

abc: 4.5407 4.5407 10.9431
angles: 90.00 90.00 90.00
With the nearest neighbours (Å) after each atom.
Positions (direct):
Pm (0.5000, 0.0000, 0.2704)  2 Ir 3.39, 6 Pd 3.39-3.53, 8 Sb 3.40-3.73
Pm (0.0000, 0.5000, 0.7296)  6 Pd 3.39-3.53, 2 Ir 3.39, 8 Sb 3.40-3.73
Sb (0.5000, 0.5000, 0.0000)  4 Pd 2.71
Sb (0.0000, 0.0000, 0.0000)  4 Pd 2.71
Sb (0.5000, 0.0000, 0.6286)  3 Pd 2.58-2.67, 2 Ir 2.67
Sb (0.0000, 0.5000, 0.3714)  3 Pd 2.58-2.67, 2 Ir 2.67
Ir (0.5000, 0.5000, 0.5000)  4 Sb 2.67
Pd (0.0000, 0.0000, 0.5000)  4 Sb 2.67
Pd (0.5000, 0.0000, 0.8640)  5 Sb 2.58-2.71
Pd (0.0000, 0.5000, 0.1360)  5 Sb 2.58-2.71

Results
The uncorrected formation energy comes out at -7.1 eV/f.u. As for the crystal system: tetragonal. Its space-group type is No. 115.

# LiSmZnSn

A geometry-optimized LiSmZnSn structure (PBE-GGA, the Alexandria database).

abc: 5.0593 5.0593 5.0593
angles: 60.00 60.00 60.00
With the nearest neighbours (Å) after each atom.
Positions (direct):
Zn (0.2500, 0.2500, 0.2500)  4 Li 3.10, 4 Sm 3.10
Sn (0.7500, 0.7500, 0.7500)  4 Li 3.10, 4 Sm 3.10
Sm (0.5000, 0.5000, 0.5000)  4 Zn 3.10, 4 Sn 3.10
Li (0.0000, 0.0000, 0.0000)  4 Sn 3.10, 4 Zn 3.10

Results
As for the crystal system: cubic. As for the energy of formation from the pure elements: -166 kJ/mol of formula units. Its space-group type is No. 216.

# Ac3La12Tl

A geometry-optimized Ac3La12Tl structure (PBE-GGA, the Alexandria database).

abc: 5.2769 5.2769 21.1881
angles: 90.00 90.00 90.00
With the nearest neighbours (Å) after each atom.
Positions (direct):
Ac (0.0000, 0.0000, 0.2439)  12 La 3.73-3.78
Ac (0.0000, 0.0000, 0.5000)  12 La 3.73-3.79
Ac (0.0000, 0.0000, 0.7561)  12 La 3.73-3.78
La (0.5000, 0.5000, 0.0000)  8 La 3.63, 4 Tl 3.73
La (0.5000, 0.5000, 0.2432)  4 Ac 3.73, 8 La 3.75-3.79
La (0.5000, 0.5000, 0.5000)  4 Ac 3.73, 8 La 3.79
La (0.5000, 0.5000, 0.7568)  4 Ac 3.73, 8 La 3.75-3.79
La (0.5000, 0.0000, 0.1175)  2 Tl 3.63, 8 La 3.63-3.75, 2 Ac 3.76
La (0.5000, 0.0000, 0.3717)  8 La 3.73-3.79, 4 Ac 3.78-3.79
La (0.5000, 0.0000, 0.6283)  8 La 3.73-3.79, 4 Ac 3.78-3.79
La (0.5000, 0.0000, 0.8825)  8 La 3.63-3.75, 2 Tl 3.63, 2 Ac 3.76
La (0.0000, 0.5000, 0.1175)  2 Tl 3.63, 8 La 3.63-3.75, 2 Ac 3.76
La (0.0000, 0.5000, 0.3717)  8 La 3.73-3.79, 4 Ac 3.78-3.79
La (0.0000, 0.5000, 0.6283)  8 La 3.73-3.79, 4 Ac 3.78-3.79
La (0.0000, 0.5000, 0.8825)  8 La 3.63-3.75, 2 Tl 3.63, 2 Ac 3.76
Tl (0.0000, 0.0000, 0.0000)  12 La 3.63-3.73

Results
As for the crystal system: tetragonal. As for the energy of formation from the pure elements: -66 kJ/mol of formula units. Its space-group type is No. 123.

# Ac2Pr3Nd4

A geometry-optimized Ac2Pr3Nd4 structure (PBE-GGA, the Alexandria database).

abc: 3.7695 3.7695 27.9796
angles: 90.00 90.00 120.00
With the nearest neighbours (Å) after each atom.
Positions (direct):
Ac (0.6667, 0.3333, 0.0945)  1 Nd 3.61, 6 Ac 3.77, 3 Pr 3.80
Ac (0.6667, 0.3333, 0.8677)  6 Ac 3.77, 3 Nd 3.83, 3 Pr 3.90
Pr (0.0000, 0.0000, 0.9833)  6 Pr 3.77, 6 Ac 3.80-3.90
Pr (0.0000, 0.0000, 0.3266)  6 Nd 3.62-3.77, 6 Pr 3.77
Pr (0.6667, 0.3333, 0.6491)  6 Nd 3.68-3.73, 6 Pr 3.77
Nd (0.0000, 0.0000, 0.5407)  9 Nd 3.64-3.77, 3 Pr 3.73
Nd (0.6667, 0.3333, 0.4366)  9 Nd 3.64-3.77, 3 Pr 3.77
Nd (0.6667, 0.3333, 0.2234)  1 Ac 3.61, 3 Pr 3.62, 6 Nd 3.77
Nd (0.0000, 0.0000, 0.7552)  3 Pr 3.68, 6 Nd 3.77, 3 Ac 3.83

Results
For the energy above the most stable polymorph in this dataset, the calculation gives 0.0 meV per atom. As for the crystal system: trigonal. As for the energy of formation from the pure elements: 64 kJ/mol of formula units. Its space-group type is No. 156.

# CoICl

A geometry-optimized CoICl structure (PBE-GGA, the Alexandria database).

abc: 3.6668 6.3206 7.5296
angles: 115.75 104.09 90.00
With the nearest neighbours (Å) after each atom.
Positions (direct):
Co (0.7502, 0.7412, 0.5004)  3 Cl 2.38-2.42, 3 I 2.61-2.62
Co (0.2498, 0.2588, 0.4996)  3 Cl 2.38-2.42, 3 I 2.61-2.62
Cl (0.1572, 0.4866, 0.3143)  3 Co 2.38-2.42
Cl (0.8428, 0.5134, 0.6857)  3 Co 2.38-2.42
I (0.6367, 0.9651, 0.2733)  3 Co 2.61-2.62
I (0.3633, 0.0349, 0.7267)  3 Co 2.61-2.62

Results
The uncorrected formation energy comes out at -0.6 eV/f.u. For the energy above the most stable polymorph in this dataset, the calculation gives 96.8 meV per atom. As for the crystal system: monoclinic. Its space-group type is No. 12.

# HPdRh3

A geometry-optimized HPdRh3 structure (PBE-GGA, the Alexandria database).

abc: 3.9238 3.9238 3.9238
angles: 90.00 90.00 90.00
With the nearest neighbours (Å) after each atom.
Positions (direct):
H (0.0000, 0.0000, 0.0000)  6 Rh 1.96
Rh (0.0000, 0.5000, 0.0000)  2 H 1.96
Rh (0.0000, 0.0000, 0.5000)  2 H 1.96
Rh (0.5000, 0.0000, 0.0000)  2 H 1.96
Pd (0.5000, 0.5000, 0.5000)  12 Rh 2.77

Results
For the energy above the most stable polymorph in this dataset, the calculation gives 0.0 meV per atom. As for the crystal system: cubic. Its space-group type is No. 221.

# YC

A geometry-optimized YC structure (PBE-GGA, the Alexandria database).

abc: 7.2417 7.2417 5.1335
angles: 90.00 90.00 120.00
With the nearest neighbours (Å) after each atom.
Positions (direct):
Y (0.9752, 0.3229, 0.2500)  5 C 2.39-2.57
Y (0.6523, 0.9752, 0.7500)  5 C 2.39-2.57
Y (0.6771, 0.6523, 0.2500)  5 C 2.39-2.57
Y (0.0248, 0.6771, 0.7500)  5 C 2.39-2.57
Y (0.3477, 0.0248, 0.2500)  5 C 2.39-2.57
Y (0.3229, 0.3477, 0.7500)  5 C 2.39-2.57
C (0.6571, 0.9829, 0.2500)  5 Y 2.39-2.57
C (0.6742, 0.6571, 0.7500)  5 Y 2.39-2.57
C (0.0171, 0.6742, 0.2500)  5 Y 2.39-2.57
C (0.3429, 0.0171, 0.7500)  5 Y 2.39-2.57
C (0.3258, 0.3429, 0.2500)  5 Y 2.39-2.57
C (0.9829, 0.3258, 0.7500)  5 Y 2.39-2.57

Results
For the energy above the most stable polymorph in this dataset, the calculation gives 509.6 meV per atom. As for the crystal system: hexagonal. As for the energy of formation from the pure elements: 57 kJ/mol of formula units. Its space-group type is No. 176.

# LiBe2IBr

A geometry-optimized LiBe2IBr structure (PBE-GGA, the Alexandria database).

abc: 4.8769 7.7699 4.8769
angles: 90.00 90.00 90.00
With the nearest neighbours (Å) after each atom.
Positions (direct):
I (0.0000, 0.0000, 0.0000)  4 Be 2.44
Be (0.0000, 0.0000, 0.5000)  2 I 2.44
Be (0.5000, 0.0000, 0.0000)  2 I 2.44
Br (0.0000, 0.5000, 0.0000)  4 Li 3.45
Li (0.5000, 0.5000, 0.5000)  4 Br 3.45

Results
The uncorrected formation energy comes out at 3.8 eV/f.u. As for the crystal system: tetragonal. Its space-group type is No. 123.

For each record above, in turn, the calculated calculated total energy values are -5.75; -3.41; -4.66; -4.55; -3.69; -6.05; -7.55; -1.75 eV per atom.